DFT (PBE+U) results for an optimized crystal structure of Ta2CrNO5.

Calculated values
DFT total energy, eV per atom: -9.40
Energy above the most stable polymorph in this dataset, meV per atom: 13
Size of the total moment, μB/cell: 5.99

Cell: 4.7716 4.7716 9.2137 Å, 90.00 90.00 89.70°
Fractional positions:
O 0.6994 0.3075 0.1675
O 0.8048 0.8048 0.0000
Ta 0.4835 0.4835 0.3314
O 0.6971 0.3127 0.5000
O 0.3075 0.6994 0.1675
Cr 0.5037 0.5037 0.0000
Ta 0.0026 0.0026 0.1735
O 0.1938 0.1938 0.0000
O 0.6994 0.3075 0.8325
N 0.1980 0.1980 0.3313
Cr 0.9993 0.9993 0.5000
O 0.3127 0.6971 0.5000
O 0.8033 0.8033 0.6725
Ta 0.0026 0.0026 0.8265
Ta 0.4835 0.4835 0.6686
O 0.3075 0.6994 0.8325
N 0.1980 0.1980 0.6687
O 0.8033 0.8033 0.3275